Entry 1:
# MnReAu2

A geometry-optimized MnReAu2 structure (PBEsol, the Alexandria database).

Geometry as POSCAR:
```
MnReAu2
1.0
1.398 0.807 9.075
-1.398 0.807 9.075
0.000 -1.615 9.075
Mn Re Au
1 1 2
Direct
0.000 0.000 0.000
0.500 0.500 0.500
0.252 0.252 0.252
0.748 0.748 0.748
```

* energy relative to the lowest polymorph listed for this composition: 0.095 eV per atom
* formation energy from the elements: 0.40 eV per atom
* raw total energy: -29.352 eV/f.u.

***

Entry 2:
# MnRe2Au

A geometry-optimized MnRe2Au structure (PBEsol, the Alexandria database).

Geometry as POSCAR:
```
MnRe2Au
1.0
0.000 3.067 3.067
3.067 0.000 3.067
3.067 3.067 0.000
Mn Re Au
1 2 1
Direct
0.000 0.000 0.000
0.250 0.250 0.250
0.750 0.750 0.750
0.500 0.500 0.500
```

* energy relative to the lowest polymorph listed for this composition: 0.390 eV per atom
* formation energy from the elements: 0.67 eV per atom
* raw total energy: -37.674 eV/f.u.

***

Entry 3:
# MnReAu2

A geometry-optimized MnReAu2 structure (PBEsol, the Alexandria database).

Geometry as POSCAR:
```
MnReAu2
1.0
2.761 0.000 0.000
0.000 3.715 0.000
-0.220 0.000 5.902
Mn Re Au
1 1 2
Direct
0.000 0.000 0.000
0.414 0.500 0.198
0.469 0.500 0.740
0.949 0.000 0.465
```

* energy relative to the lowest polymorph listed for this composition: 0.000 eV per atom
* formation energy from the elements: 0.30 eV per atom
* raw total energy: -29.732 eV/f.u.

***

Entry 4:
# MnRe2Au

A geometry-optimized MnRe2Au structure (PBEsol, the Alexandria database).

Geometry as POSCAR:
```
MnRe2Au
1.0
2.692 0.000 0.000
0.000 2.692 0.000
0.000 0.000 7.748
Mn Re Au
1 2 1
Direct
0.000 0.000 0.000
0.500 0.500 0.219
0.500 0.500 0.781
0.000 0.000 0.500
```

* energy relative to the lowest polymorph listed for this composition: 0.000 eV per atom
* formation energy from the elements: 0.28 eV per atom
* raw total energy: -39.234 eV/f.u.

***

Entry 5:
# Mn2ReAu

A geometry-optimized Mn2ReAu structure (PBEsol, the Alexandria database).

Geometry as POSCAR:
```
Mn2ReAu
1.0
0.000 3.034 3.034
3.034 0.000 3.034
3.034 3.034 0.000
Mn Re Au
2 1 1
Direct
0.250 0.250 0.250
0.750 0.750 0.750
0.000 0.000 0.000
0.500 0.500 0.500
```

* energy relative to the lowest polymorph listed for this composition: 0.091 eV per atom
* formation energy from the elements: 0.33 eV per atom
* raw total energy: -35.457 eV/f.u.

***

Entry 6:
# MnReAu2S

A geometry-optimized MnReAu2S structure (PBEsol, the Alexandria database).

Geometry as POSCAR:
```
MnReAu2S
1.0
5.096 0.000 0.000
0.000 5.096 0.000
0.000 0.000 4.276
Mn Re Au S
1 1 2 1
Direct
0.000 0.000 0.000
0.500 0.500 0.500
0.000 0.500 0.500
0.500 0.000 0.500
0.500 0.500 0.000
```

* raw total energy: -30.484 eV/f.u.

***

Entry 7:
# MnRhAu2

A geometry-optimized MnRhAu2 structure (PBEsol, the Alexandria database).

Geometry as POSCAR:
```
MnRhAu2
1.0
-1.970 1.970 3.900
1.970 -1.970 3.900
1.970 1.970 -3.900
Mn Rh Au
1 1 2
Direct
0.000 0.000 0.000
0.750 0.250 0.500
0.250 0.750 0.500
0.500 0.500 0.000
```

* formation energy from the elements: 0.01 eV per atom
* raw total energy: -25.689 eV/f.u.

***

Entry 8:
# MnRhAu2

A geometry-optimized MnRhAu2 structure (PBEsol, the Alexandria database).

Geometry as POSCAR:
```
MnRhAu2
1.0
-1.941 1.941 4.016
1.941 -1.941 4.016
1.941 1.941 -4.016
Mn Rh Au
1 1 2
Direct
0.000 0.000 0.000
0.500 0.500 0.000
0.250 0.750 0.500
0.750 0.250 0.500
```

* formation energy from the elements: 0.04 eV per atom
* raw total energy: -25.600 eV/f.u.

***

Number 1: volume 15.37 Å³ per atom. Number 2: volume 14.43 Å³ per atom. Number 3: volume 15.13 Å³ per atom. Number 4: volume 14.04 Å³ per atom. Number 5: volume 13.97 Å³ per atom. Number 6: volume 22.21 Å³ per atom. Number 7: volume 15.13 Å³ per atom. Number 8: volume 15.13 Å³ per atom.